DFT (PBE) results for crystalline TiFeSn at its relaxed geometry.

D(E_F) ... 0.60 states/eV/atom
Formation enthalpy at 0 K ... -0.09 eV per atom
M_tot ... 0.005 μB per atom
SG ... I4mm
Theoretical density ... 7.8 g cm⁻³
Crystal system ... tetragonal
Calculated total energy ... -20.632 eV/f.u.

Cell lengths 3.031, 3.031, 5.605 Å; angles 105.69, 105.69, 90.00 degrees
Atoms (fractional coordinates):
Ti  0.593  0.593  0.187
Sn  0.296  0.296  0.592
Fe  0.961  0.961  0.922